# 1
Crystalline Er4ZnAu at its relaxed geometry, computed with PBE.

**N(E_F)**: 5.54 states/eV/f.u.
**Crystal system**: tetragonal
**Electronic total energy**: -4.037 eV/atom
**E_form**: -0.237 eV/atom

Unit cell a=4.8994 b=4.8994 c=6.9716 alpha=90.00 beta=90.00 gamma=90.00
With the nearest neighbours (Å) after each atom.
Fractional coordinates of all 6 atoms:
Er 0.0000 0.5000 0.2495  2 Zn 3.00, 2 Au 3.01
Er 0.0000 0.5000 0.7505  2 Zn 3.00, 2 Au 3.01
Er 0.5000 0.0000 0.2495  2 Zn 3.00, 2 Au 3.01
Er 0.5000 0.0000 0.7505  2 Zn 3.00, 2 Au 3.01
Zn 0.0000 0.0000 0.0000  8 Er 3.00
Au 0.5000 0.5000 0.5000  8 Er 3.01

=====

# 2
Crystalline ZnIr2Pb at its relaxed geometry, computed with PBE.

**Energy relative to the lowest polymorph listed for this composition**: 93.5 meV per atom
**N(E_F)**: 1.74 states/eV/f.u.
**Crystal system**: monoclinic
**Electronic total energy**: -5.367 eV/atom
**E_form**: 0.309 eV/atom

Unit cell a=4.7227 b=4.7227 c=5.3572 alpha=99.46 beta=99.46 gamma=36.93
With the nearest neighbours (Å) after each atom.
Fractional coordinates of all 4 atoms:
Zn 0.0000 0.0000 0.0000  5 Ir 2.59-2.64
Ir 0.2613 0.2613 0.8543  3 Zn 2.59-2.62, 2 Ir 2.70
Ir 0.5310 0.5310 0.6066  2 Zn 2.64, 3 Ir 2.70-2.95, 3 Pb 2.80-2.90
Pb 0.7739 0.7739 0.3409  5 Ir 2.80-2.99, 1 Zn 2.95, 2 Pb 2.99